A relaxed structure of La3TaV, computed with GGA-PBE.

The structure in extended XYZ format:
```
5
Lattice="5.649 0.000 0.000 0.000 5.649 0.000 0.000 0.000 5.649" Properties=species:S:1:pos:R:3 pbc="T T T"
La 0.000 0.000 2.824
La 0.000 2.824 0.000
La 2.824 0.000 0.000
Ta 0.000 0.000 0.000
V 2.824 2.824 2.824
```

Output
V = 180.2 Å³/f.u.
VASP energy = -31.0 eV/f.u.
E above lowest polymorph = 0.000 eV/atom

***

A relaxed structure of La2TaV, computed with GGA-PBE.

The structure in extended XYZ format:
```
4
Lattice="0.000 3.734 3.734 3.734 0.000 3.734 3.734 3.734 0.000" Properties=species:S:1:pos:R:3 pbc="T T T"
La 1.867 1.867 1.867
La 5.601 5.601 5.601
Ta 0.000 0.000 0.000
V 3.734 3.734 3.734
```

Output
V = 104.1 Å³/f.u.
VASP energy = -28.3 eV/f.u.
E above lowest polymorph = 0.000 eV/atom

***

A relaxed structure of LaTa2VZn, computed with GGA-PBE.

The structure in extended XYZ format:
```
5
Lattice="4.685 0.000 0.000 0.000 4.685 0.000 0.000 0.000 5.110" Properties=species:S:1:pos:R:3 pbc="T T T"
La 0.000 0.000 0.000
Ta 0.000 2.343 2.555
Ta 2.343 0.000 2.555
V 2.343 2.343 2.555
Zn 2.343 2.343 0.000
```

Output
V = 112.2 Å³/f.u.
VASP energy = -35.8 eV/f.u.

***

A relaxed structure of LaTa2W, computed with GGA-PBE.

The structure in extended XYZ format:
```
8
Lattice="-3.943 3.943 2.913 3.943 -3.943 2.913 3.943 3.943 -2.913" Properties=species:S:1:pos:R:3 pbc="T T T"
La 0.000 0.000 0.000
La 0.000 3.943 1.456
Ta 1.972 -1.622 2.185
Ta 2.321 1.972 0.728
Ta 1.972 5.565 -0.728
Ta 1.622 1.972 3.641
W 3.943 0.000 1.456
W 0.000 0.000 2.913
```

Output
V = 90.6 Å³/f.u.
VASP energy = -37.8 eV/f.u.
E above lowest polymorph = 0.672 eV/atom